An optimized crystal structure of Mg2ZrPt2. Source: Alexandria, functional PBE.

As for the distance to the lowest polymorph of the same formula: 0.000 eV/atom. Its magnetic moment is 0.00 μB per formula unit. For the formation energy, the calculation gives -0.758 eV/atom. The density of states at the Fermi level is 6.38 states/eV/cell.

Cell lengths 4.5614, 4.5084, 9.7359 Å; angles 90.00, 90.05, 90.00 degrees
Space group P2_1/m (No. 11)
Inequivalent atoms, fractional coordinates:
Mg (0.2501, 0.2500, 0.0088) (multiplicity 2)
Mg (0.2505, 0.2500, 0.3240) (multiplicity 2)
Zr (0.2489, 0.2500, 0.6737) (multiplicity 2)
Pt (0.2494, 0.7500, 0.8355) (multiplicity 2)
Pt (0.2514, 0.7500, 0.4797) (multiplicity 2)